First-principles (PBE) data for an optimized crystal structure of LiLuGa, as listed in OQMD via LeMat-Bulk.

a b c (Å): 6.284 6.284 6.284
angles (deg): 90.00 90.00 90.00
Space group F-43m (No. 216)
Asymmetric unit:
Li1 0.000 0.000 0.000 [4 per cell]
Lu1 0.250 0.250 0.250 [4 per cell]
Ga1 0.250 0.250 0.750 [4 per cell]

* total magnetization: 0.001 μB per atom
* excess energy over the best structure of this formula in the dataset: 0.0 meV/atom

First-principles (PBE) data for an optimized crystal structure of Li2LuGa, as listed in OQMD via LeMat-Bulk.

a b c (Å): 6.669 6.669 6.669
angles (deg): 90.00 90.00 90.00
Space group F-43m (No. 216)
Asymmetric unit:
Li1 0.000 0.000 0.000 [4 per cell]
Li2 0.250 0.250 0.250 [4 per cell]
Lu1 0.250 0.250 0.750 [4 per cell]
Ga1 0.000 0.000 0.500 [4 per cell]

* DFT total energy: -3.0957 eV/atom
* total magnetization: 0.000 μB per atom

First-principles (PBE) data for an optimized crystal structure of LiLuGaNi, as listed in OQMD via LeMat-Bulk.

a b c (Å): 6.295 6.295 6.295
angles (deg): 90.00 90.00 90.00
Space group F-43m (No. 216)
Asymmetric unit:
Li1 0.000 0.000 0.000 [4 per cell]
Lu1 0.250 0.250 0.750 [4 per cell]
Ga1 0.250 0.250 0.250 [4 per cell]
Ni1 0.000 0.000 0.500 [4 per cell]

* total magnetization: 0.000 μB per atom
* excess energy over the best structure of this formula in the dataset: 0.0 meV/atom

First-principles (PBE) data for an optimized crystal structure of LiLuGaNi, as listed in OQMD via LeMat-Bulk.

a b c (Å): 6.380 6.380 6.380
angles (deg): 90.00 90.00 90.00
Space group F-43m (No. 216)
Asymmetric unit:
Li1 0.000 0.000 0.000 [4 per cell]
Lu1 0.250 0.250 0.250 [4 per cell]
Ga1 0.000 0.000 0.500 [4 per cell]
Ni1 0.250 0.250 0.750 [4 per cell]

* total magnetization: 0.000 μB per atom
* excess energy over the best structure of this formula in the dataset: 152.7 meV/atom

First-principles (PBE) data for an optimized crystal structure of LiMgNb2Ga2Os2, as listed in OQMD via LeMat-Bulk.

a b c (Å): 4.403 4.403 6.264
angles (deg): 90.00 90.00 90.00
Space group P-4m2 (No. 115)
Asymmetric unit:
Li1 0.000 0.000 0.000 [1 per cell]
Mg1 0.500 0.500 0.500 [1 per cell]
Nb1 0.000 0.500 0.243 [2 per cell]
Ga1 0.000 0.500 0.760 [2 per cell]
Os1 0.000 0.000 0.500 [1 per cell]
Os2 0.500 0.500 0.000 [1 per cell]

* DFT total energy: -6.7648 eV/atom
* total magnetization: 0.000 μB per atom

First-principles (PBE) data for an optimized crystal structure of Li4MgGa2Ni, as listed in OQMD via LeMat-Bulk.

a b c (Å): 4.291 4.291 6.244
angles (deg): 90.00 90.00 90.00
Space group P-4m2 (No. 115)
Asymmetric unit:
Li1 0.000 0.000 0.000 [1 per cell]
Li2 0.000 0.500 0.722 [2 per cell]
Li3 0.500 0.500 0.500 [1 per cell]
Mg1 0.500 0.500 0.000 [1 per cell]
Ga1 0.000 0.500 0.287 [2 per cell]
Ni1 0.000 0.000 0.500 [1 per cell]

* DFT total energy: -2.8478 eV/atom
* total magnetization: 0.001 μB per atom

First-principles (PBE) data for an optimized crystal structure of Li2Mg2Ga2NiPd, as listed in OQMD via LeMat-Bulk.

a b c (Å): 4.346 4.346 6.170
angles (deg): 90.00 90.00 90.00
Space group P-4m2 (No. 115)
Asymmetric unit:
Li1 0.000 0.000 0.000 [1 per cell]
Li2 0.500 0.500 0.500 [1 per cell]
Mg1 0.000 0.500 0.242 [2 per cell]
Ga1 0.000 0.500 0.765 [2 per cell]
Ni1 0.500 0.500 0.000 [1 per cell]
Pd1 0.000 0.000 0.500 [1 per cell]

* DFT total energy: -3.4088 eV/atom
* total magnetization: 0.000 μB per atom

First-principles (PBE) data for an optimized crystal structure of Li2Mg2Ga2NiPt, as listed in OQMD via LeMat-Bulk.

a b c (Å): 4.332 4.332 6.125
angles (deg): 90.00 90.00 90.00
Space group P-4m2 (No. 115)
Asymmetric unit:
Li1 0.000 0.000 0.000 [1 per cell]
Li2 0.500 0.500 0.500 [1 per cell]
Mg1 0.000 0.500 0.242 [2 per cell]
Ga1 0.000 0.500 0.763 [2 per cell]
Ni1 0.500 0.500 0.000 [1 per cell]
Pt1 0.000 0.000 0.500 [1 per cell]

* DFT total energy: -3.5758 eV/atom
* total magnetization: 0.000 μB per atom

First-principles (PBE) data for an optimized crystal structure of Li2Mg2ZnGaNi2, as listed in OQMD via LeMat-Bulk.

a b c (Å): 4.284 4.284 6.040
angles (deg): 90.00 90.00 90.00
Space group P-4m2 (No. 115)
Asymmetric unit:
Li1 0.000 0.500 0.248 [2 per cell]
Mg1 0.000 0.000 0.000 [1 per cell]
Mg2 0.500 0.500 0.500 [1 per cell]
Zn1 0.500 0.500 0.000 [1 per cell]
Ga1 0.000 0.000 0.500 [1 per cell]
Ni1 0.000 0.500 0.743 [2 per cell]

* DFT total energy: -3.0541 eV/atom
* total magnetization: 0.001 μB per atom

First-principles (PBE) data for an optimized crystal structure of Li2MgZnGa2Ni2, as listed in OQMD via LeMat-Bulk.

a b c (Å): 4.217 4.217 5.984
angles (deg): 90.00 90.00 90.00
Space group P-4m2 (No. 115)
Asymmetric unit:
Li1 0.000 0.500 0.238 [2 per cell]
Mg1 0.500 0.500 0.500 [1 per cell]
Zn1 0.000 0.000 0.000 [1 per cell]
Ga1 0.000 0.000 0.500 [1 per cell]
Ga2 0.500 0.500 0.000 [1 per cell]
Ni1 0.000 0.500 0.760 [2 per cell]

* DFT total energy: -3.3106 eV/atom
* total magnetization: 0.000 μB per atom

First-principles (PBE) data for an optimized crystal structure of Li2Mg2GaPt2Pb, as listed in OQMD via LeMat-Bulk.

a b c (Å): 4.503 4.503 6.569
angles (deg): 90.00 90.00 90.00
Space group P-4m2 (No. 115)
Asymmetric unit:
Li1 0.000 0.500 0.223 [2 per cell]
Mg1 0.000 0.000 0.000 [1 per cell]
Mg2 0.500 0.500 0.500 [1 per cell]
Ga1 0.500 0.500 0.000 [1 per cell]
Pt1 0.000 0.500 0.777 [2 per cell]
Pb1 0.000 0.000 0.500 [1 per cell]

* DFT total energy: -3.8027 eV/atom
* total magnetization: 0.005 μB per atom

First-principles (PBE) data for an optimized crystal structure of Li4MgGa2Pd, as listed in OQMD via LeMat-Bulk.

a b c (Å): 4.398 4.398 6.350
angles (deg): 90.00 90.00 90.00
Space group P-4m2 (No. 115)
Asymmetric unit:
Li1 0.000 0.000 0.000 [1 per cell]
Li2 0.000 0.500 0.725 [2 per cell]
Li3 0.500 0.500 0.500 [1 per cell]
Mg1 0.500 0.500 0.000 [1 per cell]
Ga1 0.000 0.500 0.274 [2 per cell]
Pd1 0.000 0.000 0.500 [1 per cell]

* DFT total energy: -2.9273 eV/atom

- Number 8 is which compound?
  Li2Mg2Ga2NiPt